This record from Alexandria via LeMat-Bulk describes an optimized crystal structure of Sr8Pd5Pt. The functional is PBE-GGA.

## Properties
Calculated total energy: -53.28 eV per cell

Cell lengths 8.149, 8.149, 8.149 Å; angles 109.43, 109.55, 109.43 degrees
Element x y z (fractional)
Sr (0.124, 0.748, 0.003)
Sr (0.997, 0.121, 0.745)
Sr (0.761, 0.253, 0.380)
Sr (0.620, 0.381, 0.873)
Sr (0.492, 0.619, 0.239)
Sr (0.624, 0.879, 0.876)
Sr (0.255, 0.252, 0.376)
Sr (0.127, 0.747, 0.508)
Pd (0.996, 0.374, 0.123)
Pd (0.877, 0.873, 0.251)
Pd (0.749, 0.626, 0.622)
Pd (0.500, 0.000, 0.500)
Pd (0.378, 0.127, 0.004)
Pt (0.250, 0.500, 0.750)



This record from Alexandria via LeMat-Bulk describes an optimized crystal structure of SrPd2Pt. The functional is PBE-GGA.

## Properties
Polymorph energy (0 for the lowest one): 0.353 eV/atom

Cell lengths 4.596, 5.628, 4.443 Å; angles 129.31, 90.01, 90.00 degrees
Element x y z (fractional)
Sr (0.500, 0.500, 0.000)
Pd (0.000, 0.806, 0.612)
Pd (0.000, 0.194, 0.388)
Pt (0.500, 0.000, 0.000)



This record from Alexandria via LeMat-Bulk describes an optimized crystal structure of SrTa2PdPt. The functional is PBE-GGA.

## Properties
Calculated total energy: -32.01 eV per cell

Cell lengths 4.846, 5.224, 4.846 Å; angles 90.00, 90.00, 90.00 degrees
Element x y z (fractional)
Sr (0.500, 0.500, 0.500)
Pd (0.000, 0.000, 0.000)
Pt (0.000, 0.500, 0.000)
Ta (0.000, 0.000, 0.500)
Ta (0.500, 0.000, 0.000)



This record from Alexandria via LeMat-Bulk describes an optimized crystal structure of SrTbPdPt. The functional is PBE-GGA.

## Properties
Calculated total energy: -20.75 eV per cell

Cell lengths 5.073, 5.073, 5.073 Å; angles 60.00, 60.00, 60.00 degrees
Element x y z (fractional)
Sr (0.750, 0.750, 0.750)
Tb (0.250, 0.250, 0.250)
Pd (0.500, 0.500, 0.500)
Pt (0.000, 0.000, 0.000)



This record from Alexandria via LeMat-Bulk describes an optimized crystal structure of Sr2TlPd5Pt2. The functional is PBE-GGA.

## Properties
Calculated total energy: -96.27 eV per cell

Cell lengths 4.103, 9.923, 9.923 Å; angles 90.00, 90.00, 90.00 degrees
Element x y z (fractional)
Sr (0.000, 0.672, 0.172)
Sr (0.000, 0.328, 0.828)
Sr (0.000, 0.172, 0.328)
Sr (0.000, 0.828, 0.672)
Tl (0.000, 0.000, 0.000)
Tl (0.000, 0.500, 0.500)
Pd (0.500, 0.202, 0.065)
Pd (0.500, 0.798, 0.935)
Pd (0.500, 0.065, 0.798)
Pd (0.500, 0.702, 0.435)
Pd (0.500, 0.935, 0.202)
Pd (0.500, 0.298, 0.565)
Pd (0.500, 0.565, 0.702)
Pd (0.500, 0.435, 0.298)
Pd (0.500, 0.500, 0.000)
Pd (0.500, 0.000, 0.500)
Pt (0.000, 0.124, 0.624)
Pt (0.000, 0.876, 0.376)
Pt (0.000, 0.624, 0.876)
Pt (0.000, 0.376, 0.124)



This record from Alexandria via LeMat-Bulk describes an optimized crystal structure of SrYPdPt. The functional is PBE-GGA.

## Properties
Calculated total energy: -22.57 eV per cell

Cell lengths 5.070, 5.070, 5.070 Å; angles 60.00, 60.00, 60.00 degrees
Element x y z (fractional)
Y (0.750, 0.750, 0.750)
Sr (0.250, 0.250, 0.250)
Pd (0.500, 0.500, 0.500)
Pt (0.000, 0.000, 0.000)



This record from Alexandria via LeMat-Bulk describes an optimized crystal structure of Sr2Zn2Pd5Pt. The functional is PBE-GGA.

## Properties
Calculated total energy: -85.31 eV per cell

Cell lengths 3.757, 9.983, 9.983 Å; angles 90.00, 90.00, 90.00 degrees
Element x y z (fractional)
Sr (0.000, 0.680, 0.180)
Sr (0.000, 0.320, 0.820)
Sr (0.000, 0.180, 0.320)
Sr (0.000, 0.820, 0.680)
Zn (0.000, 0.120, 0.620)
Zn (0.000, 0.880, 0.380)
Zn (0.000, 0.620, 0.880)
Zn (0.000, 0.380, 0.120)
Pd (0.500, 0.206, 0.060)
Pd (0.500, 0.794, 0.940)
Pd (0.500, 0.060, 0.794)
Pd (0.500, 0.706, 0.440)
Pd (0.500, 0.940, 0.206)
Pd (0.500, 0.294, 0.560)
Pd (0.500, 0.560, 0.706)
Pd (0.500, 0.440, 0.294)
Pd (0.500, 0.500, 0.000)
Pd (0.500, 0.000, 0.500)
Pt (0.000, 0.000, 0.000)
Pt (0.000, 0.500, 0.500)



This record from Alexandria via LeMat-Bulk describes an optimized crystal structure of SrZn3PdPt. The functional is PBE-GGA.

## Properties
Calculated total energy: -38.38 eV per cell

Cell lengths 5.873, 8.115, 6.909 Å; angles 125.97, 90.00, 90.00 degrees
Element x y z (fractional)
Sr (0.750, 0.284, 0.567)
Sr (0.250, 0.716, 0.433)
Zn (0.250, 0.211, 0.422)
Zn (0.000, 0.258, 0.000)
Zn (0.500, 0.742, 0.000)
Zn (0.500, 0.258, 0.000)
Zn (0.000, 0.742, 0.000)
Zn (0.750, 0.789, 0.578)
Pd (0.250, 0.431, 0.863)
Pd (0.750, 0.569, 0.137)
Pt (0.250, 0.994, 0.988)
Pt (0.750, 0.006, 0.012)